1.
The following is a DFT calculation (PBE) of a relaxed structure of Li2CuRh.

Unit cell a=4.690 b=4.690 c=4.606 alpha=80.55 beta=80.55 gamma=32.57
Each line ends with the local moment (μB).
Atoms (fractional coordinates):
1 Rh 0.494 0.494 0.523  0.55
2 Li 0.008 0.008 0.008  -0.01
3 Cu 0.751 0.751 0.724  0.04
4 Li 0.247 0.247 0.246  0.00

## Properties
* E above lowest polymorph: 57 meV per atom
* total DFT energy (no corrections): -15.56 eV per cell
* E_form: -0.07 eV/atom
* magnetic moment: 0.58 μB per formula unit

---

2.
The following is a DFT calculation (PBE) of a relaxed structure of TiAlTc3.

Unit cell a=4.511 b=4.511 c=4.511 alpha=90.00 beta=90.00 gamma=90.00
Each line ends with the local moment (μB).
Atoms (fractional coordinates):
1 Tc 0.000 0.000 0.500  0.51
2 Tc 0.500 0.000 0.000  0.59
3 Al 0.500 0.500 0.500  -0.03
4 Ti 0.000 0.000 0.000  -0.07
5 Tc 0.000 0.500 0.000  0.61

## Properties
* E above lowest polymorph: 1192 meV per atom
* total DFT energy (no corrections): -36.69 eV per cell
* E_form: 1.21 eV/atom
* magnetic moment: 1.73 μB per formula unit

---

3.
The following is a DFT calculation (PBE) of a relaxed structure of CaNdAg4.

Unit cell a=5.785 b=5.785 c=5.785 alpha=60.00 beta=60.00 gamma=60.00
Atoms (fractional coordinates):
1 Ag 0.624 0.624 0.624
2 Nd 0.000 0.000 0.000
3 Ag 0.127 0.624 0.624
4 Ag 0.624 0.624 0.127
5 Ca 0.250 0.250 0.250
6 Ag 0.624 0.127 0.624

## Properties
* E above lowest polymorph: 70 meV per atom
* total DFT energy (no corrections): -19.38 eV per cell
* E_form: -0.20 eV/atom
* magnetic moment: 0.00 μB per formula unit

---

4.
The following is a DFT calculation (PBE) of a relaxed structure of Th4SnSb2Pb.

Unit cell a=4.546 b=7.826 c=7.873 alpha=70.36 beta=90.00 gamma=90.00
Atoms (fractional coordinates):
1 Pb 0.000 0.500 0.500
2 Th 0.500 0.250 0.753
3 Sb 0.500 0.000 0.500
4 Sb 0.000 0.000 0.000
5 Th 0.500 0.750 0.247
6 Th 0.000 0.749 0.753
7 Th 0.000 0.251 0.247
8 Sn 0.500 0.500 0.000

## Properties
* raw formation energy: -0.6468 eV/atom
* total DFT energy (no corrections): -50.81 eV per cell
* magnetic moment: 0.00 μB per formula unit

---

5.
The following is a DFT calculation (PBE) of a relaxed structure of Sm7HoSc2.

Unit cell a=5.570 b=8.863 c=8.863 alpha=119.47 beta=90.00 gamma=90.00
Atoms (fractional coordinates):
1 Sm 0.500 0.303 0.062
2 Sc 0.500 0.704 0.296
3 Ho 0.000 0.000 0.000
4 Sm 0.500 0.938 0.697
5 Sm 0.000 0.755 0.245
6 Sm 0.500 0.062 0.303
7 Sm 0.500 0.697 0.938
8 Sm 0.500 0.500 0.500
9 Sc 0.500 0.296 0.704
10 Sm 0.000 0.245 0.755

## Properties
* total DFT energy (no corrections): -44.08 eV per cell
* E_form: 0.62 eV/atom
* magnetic moment: 0.00 μB per formula unit

---

6.
The following is a DFT calculation (PBE) of a relaxed structure of LiSmTlCd.

Unit cell a=5.169 b=5.169 c=5.169 alpha=60.00 beta=60.00 gamma=60.00
Atoms (fractional coordinates):
1 Cd 0.250 0.250 0.250
2 Sm 0.500 0.500 0.500
3 Li 0.000 0.000 0.000
4 Tl 0.750 0.750 0.750

## Properties
* total DFT energy (no corrections): -11.21 eV per cell
* E_form: -0.32 eV/atom
* magnetic moment: 0.00 μB per formula unit

---

7.
The following is a DFT calculation (PBE) of a relaxed structure of Li2RhCl.

Unit cell a=2.970 b=2.970 c=7.555 alpha=90.00 beta=90.00 gamma=114.50
Each line ends with the local moment (μB).
Atoms (fractional coordinates):
1 Rh 0.500 0.500 0.250  0.57
2 Li 0.000 0.000 0.969  -0.01
3 Li 0.000 0.000 0.531  -0.01
4 Cl 0.500 0.500 0.750  0.00

## Properties
* E above lowest polymorph: 60 meV per atom
* raw formation energy: -0.5603 eV/atom
* total DFT energy (no corrections): -15.27 eV per cell
* magnetic moment: 0.54 μB per formula unit

---

8.
The following is a DFT calculation (PBE) of a relaxed structure of MnRu2Rh6.

Unit cell a=2.708 b=13.362 c=7.720 alpha=149.93 beta=100.10 gamma=90.00
Each line ends with the local moment (μB).
Atoms (fractional coordinates):
1 Rh 0.675 0.502 0.350  -0.11
2 Rh 0.325 0.152 0.650  -0.11
3 Rh 0.500 0.859 0.000  -0.12
4 Ru 0.817 0.817 0.635  -0.28
5 Mn 0.000 0.500 0.000  3.40
6 Rh 0.325 0.498 0.650  -0.11
7 Rh 0.675 0.848 0.350  -0.11
8 Rh 0.500 0.141 0.000  -0.12
9 Ru 0.183 0.183 0.365  -0.28

## Properties
* total DFT energy (no corrections): -70.45 eV per cell
* E_form: 0.15 eV/atom
* magnetic moment: 2.29 μB per formula unit

---

9.
The following is a DFT calculation (PBE) of a relaxed structure of Li2Os.

Unit cell a=7.052 b=7.052 c=7.052 alpha=159.14 beta=159.14 gamma=29.66
Atoms (fractional coordinates):
1 Os 0.000 0.000 0.000
2 Li 0.347 0.347 0.000
3 Li 0.653 0.653 0.000

## Properties
* total DFT energy (no corrections): -14.45 eV per cell
* E_form: 0.20 eV/atom
* magnetic moment: 0.00 μB per formula unit

---

10.
The following is a DFT calculation (PBE) of a relaxed structure of Nd2Cu2Si3.

Unit cell a=4.324 b=6.703 c=9.259 alpha=90.00 beta=103.50 gamma=90.00
Atoms (fractional coordinates):
1 Si 0.560 0.071 0.121
2 Nd 0.841 0.750 0.681
3 Si 0.222 0.750 0.444
4 Cu 0.314 0.063 0.628
5 Si 0.440 0.571 0.879
6 Si 0.778 0.250 0.556
7 Cu 0.686 0.937 0.372
8 Cu 0.314 0.437 0.628
9 Si 0.440 0.929 0.879
10 Nd 0.159 0.250 0.319
11 Nd 0.052 0.750 0.103
12 Nd 0.948 0.250 0.897
13 Cu 0.686 0.563 0.372
14 Si 0.560 0.429 0.121

## Properties
* raw formation energy: -0.6196 eV/atom
* total DFT energy (no corrections): -76.67 eV per cell
* magnetic moment: 0.00 μB per formula unit

---

11.
The following is a DFT calculation (PBE) of a relaxed structure of BaY4Zn.

Unit cell a=6.678 b=6.678 c=6.678 alpha=60.00 beta=60.00 gamma=60.00
Atoms (fractional coordinates):
1 Y 0.871 0.376 0.376
2 Y 0.376 0.871 0.376
3 Y 0.376 0.376 0.376
4 Zn 0.750 0.750 0.750
5 Y 0.376 0.376 0.871
6 Ba 0.000 0.000 0.000

## Properties
* total DFT energy (no corrections): -26.44 eV per cell
* E_form: 0.44 eV/atom
* magnetic moment: 0.00 μB per formula unit

---

12.
The following is a DFT calculation (PBE) of a relaxed structure of Cs2US2Br2.

Unit cell a=5.332 b=5.332 c=10.021 alpha=105.43 beta=105.43 gamma=90.00
Each line ends with the local moment (μB).
Atoms (fractional coordinates):
1 Br 0.158 0.158 0.316  -0.01
2 Cs 0.364 0.364 0.728  0.00
3 S 0.500 0.000 0.000  -0.07
4 Br 0.842 0.842 0.684  -0.01
5 Cs 0.636 0.636 0.272  0.00
6 S 0.000 0.500 0.000  -0.07
7 U 0.000 0.000 0.000  2.10

## Properties
* raw formation energy: -1.5485 eV/atom
* total DFT energy (no corrections): -35.44 eV per cell
* magnetic moment: 2.00 μB per formula unit